1.
A plane-wave DFT calculation with PBE was carried out for an optimized crystal structure of CsLiLaBr.

The structure in POSCAR format:
```
CsLiLaBr
1.0
-2.0079 4.3672 2.8806
-0.9556 -2.3215 2.8534
14.7947 2.1530 6.7061
Cs Li La Br
2 2 2 2
direct
0.8605 0.0000 0.0765
0.8605 0.5000 0.5765
0.8513 0.0000 0.3051
0.8513 0.5000 0.8051
0.3527 0.0000 0.8405
0.3527 0.5000 0.3405
0.3577 0.0000 0.4929
0.3577 0.5000 0.9929
```

Calculated values
spin magnetization	1.88	Bohr magnetons per cell
mass density	3.4	g cm⁻³
E above lowest polymorph	80	meV/atom


2.
A plane-wave DFT calculation with PBE was carried out for an optimized crystal structure of KNaAu2I8.

The structure in POSCAR format:
```
KNaAu2I8
1.0
8.4469 0.0000 0.0000
0.0000 8.4469 0.0000
-4.2235 -4.2235 7.2064
K Na Au I
1 1 2 8
direct
0.7500 0.2500 0.5000
0.0000 0.0000 0.0000
0.5000 0.5000 0.0000
0.2500 0.7500 0.5000
0.5804 0.8265 0.0307
0.4503 0.2042 0.0307
0.5859 0.7171 0.5450
0.9591 0.8279 0.5450
0.1721 0.4141 0.4550
0.2829 0.0409 0.4550
0.1735 0.5497 0.9693
0.7958 0.4196 0.9693
```

Calculated values
spin magnetization	0.00	Bohr magnetons per cell
mass density	4.8	g cm⁻³


3.
A plane-wave DFT calculation with PBE was carried out for an optimized crystal structure of HfTl3Bi2Se6.

The structure in POSCAR format:
```
HfTl3Bi2Se6
1.0
-4.5245 2.0359 -5.1222
1.5572 -6.9108 0.8179
-5.2073 0.8285 6.5792
Hf Tl Bi Se
1 3 2 6
direct
0.0000 0.0000 0.0000
0.1690 0.8310 0.5000
0.8310 0.1690 0.5000
0.5000 0.5000 0.5000
0.3332 0.6668 0.0000
0.6668 0.3332 0.0000
0.9338 0.6266 0.8007
0.7611 0.7611 0.2022
0.0662 0.3734 0.1993
0.6266 0.9338 0.8007
0.2389 0.2389 0.7978
0.3734 0.0662 0.1993
```

Calculated values
spin magnetization	0.00	Bohr magnetons per cell
mass density	7.8	g cm⁻³


Number 1: formation energy without anion corrections -0.44 eV per atom. Number 2: formation energy without anion corrections -0.41 eV per atom. Number 3: formation energy without anion corrections -0.60 eV per atom.